Record 1
The following is a DFT calculation (GGA-PBEsol) of HgP2Pd2O8 after structural relaxation.

Calculated values
- spin magnetization (μB per cell) = 0.00
- formation energy without anion corrections (meV per atom) = -1353.8
- calculated total energy (eV/atom) = -6.435

```
data_HgP2Pd2O8
_chemical_formula_sum 'Hg8 P16 Pd16 O64'
_cell_length_a 6.9731
_cell_length_b 11.4434
_cell_length_c 15.7835
_cell_angle_alpha 90.00
_cell_angle_beta 90.00
_cell_angle_gamma 90.00
_space_group_name_H-M_alt 'F d d d'
_space_group_IT_number 70
loop_
_space_group_symop_operation_xyz
'x,y,z'
'-x,-y,-z'
'-x+1/4,-y+1/4,z'
'x+1/4,y+1/4,-z'
'x,-y+1/4,-z+1/4'
'-x,y+1/4,z+1/4'
'-x+1/4,y,-z+1/4'
'x+1/4,-y,z+1/4'
'x,y+1/2,z+1/2'
'-x,-y+1/2,-z+1/2'
'-x+1/4,-y+3/4,z+1/2'
'x+1/4,y+3/4,-z+1/2'
'x,-y+3/4,-z+3/4'
'-x,y+3/4,z+3/4'
'-x+1/4,y+1/2,-z+3/4'
'x+1/4,-y+1/2,z+3/4'
'x+1/2,y,z+1/2'
'-x+1/2,-y,-z+1/2'
'-x+3/4,-y+1/4,z+1/2'
'x+3/4,y+1/4,-z+1/2'
'x+1/2,-y+1/4,-z+3/4'
'-x+1/2,y+1/4,z+3/4'
'-x+3/4,y,-z+3/4'
'x+3/4,-y,z+3/4'
'x+1/2,y+1/2,z'
'-x+1/2,-y+1/2,-z'
'-x+3/4,-y+3/4,z'
'x+3/4,y+3/4,-z'
'x+1/2,-y+3/4,-z+1/4'
'-x+1/2,y+3/4,z+1/4'
'-x+3/4,y+1/2,-z+1/4'
'x+3/4,-y+1/2,z+1/4'
loop_
_atom_site_label
_atom_site_type_symbol
_atom_site_fract_x
_atom_site_fract_y
_atom_site_fract_z
_atom_site_occupancy
Hg1 Hg 0.1250 0.1250 0.1250 1
P1 P 0.1250 0.1250 0.3305 1
Pd1 Pd 0.0000 0.0000 0.5000 1
O1 O 0.0541 0.3753 0.2277 1
O2 O 0.1209 0.0131 0.8630 1
```

=====

Record 2
The following is a DFT calculation (GGA-PBEsol) of Li2ZrCd2 after structural relaxation.

Calculated values
- spin magnetization (μB per cell) = 0.00
- ΔE_f (meV per atom) = -129
- calculated total energy (eV/atom) = -3.213

```
data_Li2ZrCd2
_chemical_formula_sum 'Li4 Zr2 Cd4'
_cell_length_a 7.9124
_cell_length_b 7.9124
_cell_length_c 2.8559
_cell_angle_alpha 90.00
_cell_angle_beta 90.00
_cell_angle_gamma 90.00
_space_group_name_H-M_alt 'P 4/m b m'
_space_group_IT_number 127
_space_group_name_Hall '-P 4 2ab'
loop_
_atom_site_label
_atom_site_type_symbol
_atom_site_fract_x
_atom_site_fract_y
_atom_site_fract_z
_atom_site_occupancy
Li1 Li 0.1171 0.3829 0.0000 1
Zr1 Zr 0.0000 0.0000 0.0000 1
Cd1 Cd 0.1816 0.6816 0.5000 1
```

=====

Record 3
The following is a DFT calculation (GGA-PBEsol) of BeInCu after structural relaxation.

Calculated values
- spin magnetization (μB per cell) = 0.00
- ΔE_f (meV per atom) = 542
- calculated total energy (eV/atom) = -3.230

```
data_BeInCu
_chemical_formula_sum 'Be4 In4 Cu4'
_cell_length_a 5.8544
_cell_length_b 5.8544
_cell_length_c 5.8544
_cell_angle_alpha 90.00
_cell_angle_beta 90.00
_cell_angle_gamma 90.00
_space_group_name_H-M_alt 'F -4 3 m'
_space_group_IT_number 216
_space_group_name_Hall 'F -4 2 3'
loop_
_atom_site_label
_atom_site_type_symbol
_atom_site_fract_x
_atom_site_fract_y
_atom_site_fract_z
_atom_site_occupancy
Be1 Be 0.0000 0.0000 0.0000 1
In1 In 0.2500 0.2500 0.2500 1
Cu1 Cu 0.0000 0.0000 0.5000 1
```

=====

Record 4
The following is a DFT calculation (GGA-PBEsol) of Ta2IrPt after structural relaxation.

Calculated values
- spin magnetization (μB per cell) = 0.00
- ΔE_f (meV per atom) = -610
- calculated total energy (eV/atom) = -11.083

```
data_Ta2IrPt
_chemical_formula_sum 'Ta2 Ir1 Pt1'
_cell_length_a 2.8016
_cell_length_b 4.6103
_cell_length_c 4.9108
_cell_angle_alpha 90.00
_cell_angle_beta 92.46
_cell_angle_gamma 90.00
_space_group_name_H-M_alt 'P 1 m 1'
_space_group_IT_number 6
_space_group_name_Hall 'P -2y'
loop_
_atom_site_label
_atom_site_type_symbol
_atom_site_fract_x
_atom_site_fract_y
_atom_site_fract_z
_atom_site_occupancy
Ta1 Ta 0.0000 0.0000 0.0000 1
Ta2 Ta 0.1018 0.5000 0.6309 1
Ir1 Ir 0.5531 0.5000 0.1282 1
Pt1 Pt 0.5511 0.0000 0.4919 1
```

=====

Record 5
The following is a DFT calculation (GGA-PBEsol) of LaHgS3 after structural relaxation.

Calculated values
- spin magnetization (μB per cell) = 0.00
- formation energy without anion corrections (meV per atom) = -603.0
- calculated total energy (eV/atom) = -4.416

```
data_LaHgS3
_chemical_formula_sum 'La1 Hg1 S3'
_cell_length_a 4.8900
_cell_length_b 4.8900
_cell_length_c 4.8900
_cell_angle_alpha 90.00
_cell_angle_beta 90.00
_cell_angle_gamma 90.00
_space_group_name_H-M_alt 'P m -3 m'
_space_group_IT_number 221
_space_group_name_Hall '-P 4 2 3'
loop_
_atom_site_label
_atom_site_type_symbol
_atom_site_fract_x
_atom_site_fract_y
_atom_site_fract_z
_atom_site_occupancy
La1 La 0.0000 0.0000 0.0000 1
Hg1 Hg 0.5000 0.5000 0.5000 1
S1 S 0.0000 0.5000 0.5000 1
```

=====

Record 6
The following is a DFT calculation (GGA-PBEsol) of CsAlBr2 after structural relaxation.

Calculated values
- spin magnetization (μB per cell) = 0.00
- formation energy without anion corrections (meV per atom) = -573.7
- calculated total energy (eV/atom) = -2.767

```
data_CsAlBr2
_chemical_formula_sum 'Cs3 Al3 Br6'
_cell_length_a 4.7908
_cell_length_b 4.7908
_cell_length_c 28.3631
_cell_angle_alpha 90.00
_cell_angle_beta 90.00
_cell_angle_gamma 120.00
_space_group_name_H-M_alt 'R -3 m'
_space_group_IT_number 166
_space_group_name_Hall '-R 3 2"'
loop_
_atom_site_label
_atom_site_type_symbol
_atom_site_fract_x
_atom_site_fract_y
_atom_site_fract_z
_atom_site_occupancy
Cs1 Cs 0.0000 0.0000 0.0000 1
Al1 Al 0.0000 0.0000 0.5000 1
Br1 Br 0.0000 0.0000 0.1138 1
```

=====

Record 7
The following is a DFT calculation (GGA-PBEsol) of Nb3SiNi after structural relaxation.

Calculated values
- spin magnetization (μB per cell) = 0.03
- formation energy without anion corrections (meV per atom) = 972.4
- calculated total energy (eV/atom) = -7.901

```
data_Nb3SiNi
_chemical_formula_sum 'Nb3 Si1 Ni1'
_cell_length_a 4.5746
_cell_length_b 4.5746
_cell_length_c 4.5746
_cell_angle_alpha 90.00
_cell_angle_beta 90.00
_cell_angle_gamma 90.00
_space_group_name_H-M_alt 'P m -3 m'
_space_group_IT_number 221
_space_group_name_Hall '-P 4 2 3'
loop_
_atom_site_label
_atom_site_type_symbol
_atom_site_fract_x
_atom_site_fract_y
_atom_site_fract_z
_atom_site_occupancy
Nb1 Nb 0.0000 0.0000 0.5000 1
Si1 Si 0.0000 0.0000 0.0000 1
Ni1 Ni 0.5000 0.5000 0.5000 1
```

=====

Record 8
The following is a DFT calculation (GGA-PBEsol) of Li2MnSiRu after structural relaxation.

Calculated values
- spin magnetization (μB per cell) = 4.35
- formation energy without anion corrections (meV per atom) = 608.7
- calculated total energy (eV/atom) = -5.314

```
data_Li2MnSiRu
_chemical_formula_sum 'Li2 Mn1 Si1 Ru1'
_cell_length_a 4.3253
_cell_length_b 4.3253
_cell_length_c 4.4185
_cell_angle_alpha 90.00
_cell_angle_beta 90.00
_cell_angle_gamma 90.00
_space_group_name_H-M_alt 'P 4/m m m'
_space_group_IT_number 123
_space_group_name_Hall '-P 4 2'
loop_
_atom_site_label
_atom_site_type_symbol
_atom_site_fract_x
_atom_site_fract_y
_atom_site_fract_z
_atom_site_occupancy
Li1 Li 0.0000 0.5000 0.0000 1
Mn1 Mn 0.0000 0.0000 0.5000 1
Si1 Si 0.5000 0.5000 0.0000 1
Ru1 Ru 0.5000 0.5000 0.5000 1
```

=====

Question: spin magnetization of number 6 (CsAlBr2)?
Answer: 0.00 μB per cell